Record 1
This record from OQMD describes a geometry-optimized HoB3Mo structure. The functional is GGA-PBE.

Cell: 5.4234 3.1596 6.8209 Å, 90.00 101.79 90.00°
Last column: nearest neighbours and their distance in Å.
Space group P2_1/m (No. 11)
Asymmetric unit:
1 Ho 0.1765 0.2500 0.2096 x2  9 B 2.62-2.76
2 B 0.0836 0.7500 0.4929 x2  3 B 1.78-1.83
3 B 0.4125 0.7500 0.4954 x2  3 B 1.78-1.84
4 B 0.4178 0.7500 0.9761 x2  2 B 1.81
5 Mo 0.3104 0.2500 0.7204 x2  9 B 2.28-2.37

Summary:
DFT total energy	-7.722	eV per atom


Record 2
This record from OQMD describes a geometry-optimized Ni3Te2S2 structure. The functional is GGA-PBE.

Cell: 7.9575 7.9575 7.9575 Å, 90.00 90.00 90.00°
Last column: nearest neighbours and their distance in Å.
Space group I2_13 (No. 199)
Asymmetric unit:
1 Ni 0.0000 0.2500 0.9658 x12  2 S 2.20
2 Te 0.2356 0.2356 0.2356 x8  6 Ni 2.65-2.85
3 S 0.0251 0.4749 0.5251 x8  3 Ni 2.20

Summary:
DFT total energy	-4.686	eV per atom


Record 3
This record from OQMD describes a geometry-optimized GdTaBi structure. The functional is GGA-PBE.

Cell: 6.9443 6.9443 6.9443 Å, 90.00 90.00 90.00°
Last column: nearest neighbours and their distance in Å.
Space group F-43m (No. 216)
Asymmetric unit:
1 Gd 0.0000 0.0000 0.0000 x4  4 Bi 3.01
2 Ta 0.0000 0.0000 0.5000 x4  4 Bi 3.01
3 Bi 0.2500 0.2500 0.2500 x4  4 Gd 3.01, 4 Ta 3.01

Summary:
DFT total energy	-6.311	eV per atom


Record 4
This record from OQMD describes a geometry-optimized NaHfAgTe3 structure. The functional is GGA-PBE.

Cell: 14.3757 4.1430 11.2869 Å, 90.00 90.00 90.00°
Last column: nearest neighbours and their distance in Å.
Space group Pnma (No. 62)
Asymmetric unit:
1 Na 0.2212 0.2500 0.0590 x4  6 Te 3.29-3.33, 2 Ag 3.66
2 Hf 0.0093 0.2500 0.3200 x4  6 Te 2.82-3.02
3 Ag 0.0130 0.7500 0.0920 x4  4 Te 2.78-2.96, 2 Ag 2.96
4 Te 0.1013 0.2500 0.5604 x4  3 Hf 2.94-3.02, 2 Na 3.29
5 Te 0.1200 0.7500 0.8683 x4  1 Hf 2.82, 3 Ag 2.85-2.96
6 Te 0.1470 0.7500 0.2694 x4  1 Ag 2.78, 2 Hf 2.92

Summary:
DFT total energy	-4.616	eV per atom


Record 5
This record from OQMD describes a geometry-optimized Tm2Te3 structure. The functional is GGA-PBE.

Cell: 8.6100 12.1610 25.7871 Å, 90.00 90.00 90.00°
Last column: nearest neighbours and their distance in Å.
Space group Fddd (No. 70, origin choice 2)
Asymmetric unit:
1 Tm 0.1250 0.1250 0.0424 x16  6 Te 3.05
2 Tm 0.1250 0.1250 0.3752 x16  6 Te 3.04
3 Te 0.1212 0.3750 0.8750 x16  4 Tm 3.04-3.05
4 Te 0.1248 0.3742 0.5417 x32  4 Tm 3.04-3.05

Summary:
DFT total energy	-5.048	eV per atom


Record 6
This record from OQMD describes a geometry-optimized NaNbAgSe3 structure. The functional is GGA-PBE.

Cell: 3.7055 13.8944 10.2566 Å, 90.00 90.00 90.00°
Last column: nearest neighbours and their distance in Å.
Space group Cmcm (No. 63)
Asymmetric unit:
1 Na 0.0000 0.2402 0.2500 x4  8 Se 3.05-3.37, 2 Ag 3.24
2 Nb 0.0000 0.0000 0.0000 x4  6 Se 2.67-2.82
3 Ag 0.0000 0.4515 0.7500 x4  4 Se 2.54-2.62
4 Se 0.0000 0.0853 0.7500 x4  2 Ag 2.62, 2 Nb 2.82
5 Se 0.0000 0.3637 0.5327 x8  1 Ag 2.54, 2 Nb 2.67

Summary:
DFT total energy	-4.688	eV per atom


Record 7
This record from OQMD describes a geometry-optimized KGdSO structure. The functional is GGA-PBE.

Cell: 9.2608 7.8438 5.5879 Å, 90.00 90.00 90.00°
Last column: nearest neighbours and their distance in Å.
Space group Pbcm (No. 57)
Asymmetric unit:
1 K 0.0912 0.1147 0.2500 x4  4 O 2.64-2.90
2 Gd 0.3502 0.5579 0.2500 x4  1 O 2.00
3 S 0.3792 0.5932 0.7500 x4  4 Gd 2.75-2.82
4 O 0.1555 0.0535 0.7500 x4  1 Gd 2.00

Summary:
DFT total energy	-5.787	eV per atom


Record 8
This record from OQMD describes a geometry-optimized KFe2P2Pd structure. The functional is GGA-PBE.

Cell: 3.6099 3.6099 7.9769 Å, 90.00 90.00 90.00°
Last column: nearest neighbours and their distance in Å.
Space group P4mm (No. 99)
Asymmetric unit:
1 K 0.0000 0.0000 0.0000 x1  5 P 3.19-3.42
2 Fe 0.0000 0.5000 0.5958 x2  4 P 2.23-2.24
3 P 0.0000 0.0000 0.4285 x1  4 Fe 2.24
4 P 0.5000 0.5000 0.7594 x1  4 Fe 2.23
5 Pd 0.5000 0.5000 0.3397 x1  4 P 2.65, 4 Fe 2.73

Summary:
DFT total energy	-6.008	eV per atom